CoSnSO PBE with a Hubbard U optimized geometry; raw total energy = -4.943 eV/atom; relative energy among the computed polymorphs = 0.304 eV/atom; SG = P6_3mc, No. 186
1.0
3.427 0.000 0.000
-1.713 2.968 0.000
0.000 0.000 12.690
Co Sn S O
2 2 2 2
Direct
0.333 0.667 0.000
0.667 0.333 0.500
0.000 0.000 0.230
0.000 0.000 0.730
0.333 0.667 0.379
0.667 0.333 0.879
0.000 0.000 0.060
0.000 0.000 0.560